{
  "formula": "PuPaSi",
  "functional": "GGA-PBE",
  "state": "relaxed",
  "lattice": [[3.244, 0.000, 0.000], [0.000, 4.702, 0.000], [0.000, -2.351, 4.072]],
  "species": ["Pa", "Si", "Pu"],
  "frac_coords": [[0.965, 0.000, 0.000], [0.375, 0.333, 0.667], [0.659, 0.667, 0.333]],
  "e_tot_ev_per_cell": -29.76,
  "rho_g_cm3": 13.45,
  "spacegroup": "P3m1 (156)"
}